[1]
{
  "formula": "GaSbF2",
  "functional": "PBE-GGA",
  "state": "relaxed",
  "n_ef_per_ev_cell": 3.8,
  "de_polymorph_ev_per_atom": 0.504,
  "raw_formation_energy_ev_per_atom": -0.88,
  "cell": [[1.798, -2.630, 3.212], [2.743, 1.793, 3.119], [-1.396, 0.389, 4.286]],
  "species": ["Sb", "Ga", "F", "F"],
  "frac_coords": [[0.500, 0.500, 0.500], [0.000, 0.000, 0.000], [0.250, 0.250, 0.250], [0.750, 0.750, 0.750]]
}

[2]
{
  "formula": "SrGaSbF",
  "functional": "PBE-GGA",
  "state": "relaxed",
  "n_ef_per_ev_cell": 2.0,
  "raw_formation_energy_ev_per_atom": -1.66,
  "cell": [[4.771, 0.000, 0.000], [0.000, 4.771, 0.000], [0.000, 0.000, 8.334]],
  "species": ["Sr", "Sr", "Ga", "Ga", "Sb", "Sb", "F", "F"],
  "frac_coords": [[0.500, 0.000, 0.628], [0.000, 0.500, 0.372], [0.500, 0.500, 0.000], [0.000, 0.000, 0.000], [0.000, 0.500, 0.824], [0.500, 0.000, 0.176], [0.000, 0.000, 0.500], [0.500, 0.500, 0.500]]
}

[3]
{
  "formula": "GaSb2TeF",
  "functional": "PBE-GGA",
  "state": "relaxed",
  "n_ef_per_ev_cell": 2.9,
  "de_polymorph_ev_per_atom": 0.000,
  "raw_formation_energy_ev_per_atom": -0.10,
  "cell": [[-0.740, -2.683, 3.921], [-0.495, -3.903, -2.764], [5.385, -0.944, 0.370]],
  "species": ["Sb", "Sb", "Te", "Ga", "F"],
  "frac_coords": [[0.000, 0.500, 0.000], [0.500, 0.000, 0.000], [0.000, 0.000, 0.500], [0.500, 0.500, 0.500], [0.000, 0.000, 0.000]]
}

[4]
{
  "formula": "GaSb2TeF",
  "functional": "PBE-GGA",
  "state": "relaxed",
  "n_ef_per_ev_cell": 3.2,
  "de_polymorph_ev_per_atom": 0.357,
  "raw_formation_energy_ev_per_atom": 0.26,
  "cell": [[-3.952, -0.773, 3.451], [-3.401, -0.588, -4.026], [0.968, -5.210, -0.058]],
  "species": ["Sb", "Sb", "Te", "Ga", "F"],
  "frac_coords": [[0.000, 0.500, 0.000], [0.500, 0.000, 0.000], [0.000, 0.000, 0.500], [0.000, 0.000, 0.000], [0.500, 0.500, 0.500]]
}

What did the fourth record say?
{
  "formula": "GaSb2TeF",
  "functional": "PBE-GGA",
  "state": "relaxed",
  "n_ef_per_ev_cell": 3.2,
  "de_polymorph_ev_per_atom": 0.357,
  "raw_formation_energy_ev_per_atom": 0.26,
  "cell": [[-3.952, -0.773, 3.451], [-3.401, -0.588, -4.026], [0.968, -5.210, -0.058]],
  "species": ["Sb", "Sb", "Te", "Ga", "F"],
  "frac_coords": [[0.000, 0.500, 0.000], [0.500, 0.000, 0.000], [0.000, 0.000, 0.500], [0.000, 0.000, 0.000], [0.500, 0.500, 0.500]]
}